i.
A plane-wave DFT calculation with PBE-GGA was carried out for NaHfCoPb after structural relaxation.

Calculated values
The space-group type is F-43m.

The structure in POSCAR format:
```
NaHfCoPb
1.0
-2.873 1.294 3.411
-4.595 -0.151 -0.653
-2.556 -3.182 2.215
Pb Co Hf Na
1 1 1 1
Cartesian
-5.013 -1.020 2.486
-2.506 -0.510 1.243
0.000 0.000 0.000
-7.519 -1.530 3.730
```


ii.
A plane-wave DFT calculation with PBE-GGA was carried out for NaHfCoPb after structural relaxation.

Calculated values
The space-group type is F-43m.

The structure in POSCAR format:
```
NaHfCoPb
1.0
0.000 3.395 3.395
3.395 0.000 3.395
3.395 3.395 0.000
Co Hf Na Pb
1 1 1 1
Cartesian
0.000 0.000 0.000
1.697 1.697 1.697
5.092 5.092 5.092
3.395 3.395 3.395
```


i is favored, and the nearest alternative lies 152 meV per atom above it.


i.
A plane-wave DFT calculation with PBE-GGA was carried out for NaHfCoSi after structural relaxation.

Calculated values
The space-group type is F-43m.

The structure in POSCAR format:
```
NaHfCoSi
1.0
0.000 3.084 3.084
3.084 0.000 3.084
3.084 3.084 0.000
Hf Si Co Na
1 1 1 1
Cartesian
3.084 3.084 3.084
0.000 0.000 0.000
1.542 1.542 1.542
4.627 4.627 4.627
```


ii.
A plane-wave DFT calculation with PBE-GGA was carried out for NaHfCoSi after structural relaxation.

Calculated values
The space-group type is F-43m.

The structure in POSCAR format:
```
NaHfCoSi
1.0
0.000 3.198 3.198
3.198 0.000 3.198
3.198 3.198 0.000
Co Hf Si Na
1 1 1 1
Cartesian
3.198 3.198 3.198
1.599 1.599 1.599
0.000 0.000 0.000
4.797 4.797 4.797
```


i is favored, and the nearest alternative lies 158 meV per atom above it.


i.
A plane-wave DFT calculation with PBE-GGA was carried out for Nd3Hf3CoTe2 after structural relaxation.

Calculated values
The space-group type is P-62m.

The structure in POSCAR format:
```
Nd3Hf3CoTe2
1.0
8.318 0.000 0.000
-4.159 7.204 0.000
0.000 0.000 3.643
Hf Nd Co Te
3 3 1 2
Cartesian
1.705 2.954 0.000
4.907 0.000 0.000
-2.454 4.250 0.000
2.046 0.000 1.822
-1.023 1.772 1.822
3.136 5.432 1.822
0.000 0.000 0.000
0.000 4.803 1.822
4.159 2.401 1.822
```


ii.
A plane-wave DFT calculation with PBE-GGA was carried out for Nd3Hf3CoTe2 after structural relaxation.

Calculated values
The space-group type is P-62m.

The structure in POSCAR format:
```
Nd3Hf3CoTe2
1.0
8.125 0.000 0.000
-4.062 7.036 0.000
0.000 0.000 3.985
Nd Co Te Hf
3 1 2 3
Cartesian
4.873 0.000 0.000
-2.436 4.220 0.000
1.626 2.816 0.000
0.000 0.000 0.000
4.062 2.345 1.993
0.000 4.691 1.993
-0.875 1.515 1.993
1.750 0.000 1.993
3.188 5.521 1.993
```


ii is favored, and the nearest alternative lies 362 meV per atom above it.


i.
A plane-wave DFT calculation with PBE-GGA was carried out for HfCoNiPb after structural relaxation.

Calculated values
The space-group type is F-43m.

The structure in POSCAR format:
```
HfCoNiPb
1.0
0.000 3.233 3.233
3.233 0.000 3.233
3.233 3.233 0.000
Co Ni Pb Hf
1 1 1 1
Cartesian
3.233 3.233 3.233
4.850 4.850 4.850
0.000 0.000 0.000
1.617 1.617 1.617
```


ii.
A plane-wave DFT calculation with PBE-GGA was carried out for HfCoNiPb after structural relaxation.

Calculated values
The space-group type is F-43m.

The structure in POSCAR format:
```
HfCoNiPb
1.0
-2.306 0.574 3.797
-4.038 1.936 -0.103
-3.675 -2.440 0.780
Co Hf Ni Pb
1 1 1 1
Cartesian
-7.514 0.053 3.356
-5.009 0.035 2.237
-2.505 0.018 1.119
0.000 0.000 0.000
```


iii.
A plane-wave DFT calculation with PBE-GGA was carried out for HfCoNiPb after structural relaxation.

Calculated values
The space-group type is F-43m.

The structure in POSCAR format:
```
HfCoNiPb
1.0
-1.808 -2.872 -2.992
-4.310 0.490 -1.286
-0.964 1.408 -4.190
Co Pb Ni Hf
1 1 1 1
Cartesian
-5.311 -0.730 -6.351
0.000 0.000 0.000
-3.541 -0.487 -4.234
-1.770 -0.243 -2.117
```


ii is favored, and the nearest alternative lies 345 meV per atom above it.


i.
A plane-wave DFT calculation with PBE-GGA was carried out for HfTlCoNi after structural relaxation.

Calculated values
The space-group type is F-43m.

The structure in POSCAR format:
```
HfTlCoNi
1.0
0.030 2.369 3.868
-1.689 4.208 0.095
-3.890 0.834 2.178
Hf Co Tl Ni
1 1 1 1
Cartesian
-1.387 1.853 1.535
-2.775 3.706 3.070
0.000 0.000 0.000
-4.162 5.558 4.606
```


ii.
A plane-wave DFT calculation with PBE-GGA was carried out for HfTlCoNi after structural relaxation.

Calculated values
The space-group type is F-43m.

The structure in POSCAR format:
```
HfTlCoNi
1.0
0.000 3.189 3.189
3.189 0.000 3.189
3.189 3.189 0.000
Tl Ni Co Hf
1 1 1 1
Cartesian
0.000 0.000 0.000
3.189 3.189 3.189
4.783 4.783 4.783
1.594 1.594 1.594
```


i is favored, and the nearest alternative lies 11 meV per atom above it.


i.
A plane-wave DFT calculation with PBE-GGA was carried out for HfCoPdPb after structural relaxation.

Calculated values
The space-group type is F-43m.

The structure in POSCAR format:
```
HfCoPdPb
1.0
0.000 3.265 3.265
3.265 0.000 3.265
3.265 3.265 0.000
Pd Pb Co Hf
1 1 1 1
Cartesian
1.632 1.632 1.632
0.000 0.000 0.000
4.897 4.897 4.897
3.265 3.265 3.265
```


ii.
A plane-wave DFT calculation with PBE-GGA was carried out for HfCoPdPb after structural relaxation.

Calculated values
The space-group type is F-43m.

The structure in POSCAR format:
```
HfCoPdPb
1.0
1.824 0.143 4.266
-0.048 3.965 2.413
-2.773 0.433 3.697
Hf Pb Co Pd
1 1 1 1
Cartesian
-0.249 1.135 2.594
0.000 0.000 0.000
-0.748 3.405 7.782
-0.499 2.270 5.188
```


i is favored, and the nearest alternative lies 249 meV per atom above it.


i.
A plane-wave DFT calculation with PBE-GGA was carried out for HfCoPtPb after structural relaxation.

Calculated values
The space-group type is F-43m.

The structure in POSCAR format:
```
HfCoPtPb
1.0
3.269 -1.416 2.983
1.156 2.672 3.621
-1.183 -1.284 4.306
Co Pb Hf Pt
1 1 1 1
Cartesian
2.431 -0.021 8.183
0.000 0.000 0.000
0.810 -0.007 2.728
1.621 -0.014 5.455
```


ii.
A plane-wave DFT calculation with PBE-GGA was carried out for HfCoPtPb after structural relaxation.

Calculated values
The space-group type is F-43m.

The structure in POSCAR format:
```
HfCoPtPb
1.0
0.000 3.279 3.279
3.279 0.000 3.279
3.279 3.279 0.000
Pt Co Pb Hf
1 1 1 1
Cartesian
1.639 1.639 1.639
4.918 4.918 4.918
0.000 0.000 0.000
3.279 3.279 3.279
```


ii is favored, and the nearest alternative lies 175 meV per atom above it.


i.
A plane-wave DFT calculation with PBE-GGA was carried out for HfZnCoPb after structural relaxation.

Calculated values
The space-group type is F-43m.

The structure in POSCAR format:
```
HfZnCoPb
1.0
1.740 -4.049 1.476
-2.026 -2.254 3.524
-2.315 -3.951 -0.793
Zn Co Hf Pb
1 1 1 1
Cartesian
-1.301 -5.127 2.103
-1.951 -7.690 3.155
-0.650 -2.563 1.052
0.000 0.000 0.000
```


ii.
A plane-wave DFT calculation with PBE-GGA was carried out for HfZnCoPb after structural relaxation.

Calculated values
The space-group type is F-43m.

The structure in POSCAR format:
```
HfZnCoPb
1.0
1.030 -1.082 4.387
-2.532 -3.152 2.265
1.814 -4.146 1.000
Co Zn Pb Hf
1 1 1 1
Cartesian
0.233 -6.284 5.738
0.078 -2.095 1.913
0.000 0.000 0.000
0.156 -4.190 3.826
```


ii is favored, and the nearest alternative lies 157 meV per atom above it.